No. 1
LiAg5 | meta-GGA SCAN | PBEsol geometry

Results
The formation enthalpy at 0 K comes out at -0.071 eV/atom. The value obtained for the magnetic moment is 0.00 μB per formula unit. For the excess energy over the best structure of this formula in the dataset, the calculation gives 1.2 kJ per mole of atoms.

abc: 4.670 7.503 7.503
angles: 21.85 90.00 90.00
Fractional coordinates of all 6 atoms:
Li (0.000, 0.000, 0.000)
Ag (0.000, 0.336, 0.336)
Ag (0.000, 0.665, 0.665)
Ag (0.500, 0.222, 0.222)
Ag (0.500, 0.555, 0.555)
Ag (0.500, 0.891, 0.891)



No. 2
Sr2BrF2 | meta-GGA SCAN | PBEsol geometry

Results
The value obtained for the magnetic moment is 0.83 μB per formula unit. The calculation puts the uncorrected formation energy at -3051 meV per atom.

abc: 6.940 6.940 6.940
angles: 143.89 143.89 51.99
Fractional coordinates of all 5 atoms:
Sr (0.150, 0.150, 0.000)
Sr (0.850, 0.850, 0.000)
Br (0.500, 0.500, 0.000)
F (0.250, 0.750, 0.500)
F (0.750, 0.250, 0.500)



No. 3
MgBe3Si | meta-GGA SCAN | PBEsol geometry

Results
The value obtained for the magnetic moment is 0.00 μB per formula unit. The calculation puts the uncorrected formation energy at 794 meV per atom.

abc: 4.232 4.232 4.232
angles: 90.00 90.00 90.00
Fractional coordinates of all 5 atoms:
Mg (0.000, 0.000, 0.000)
Be (0.000, 0.500, 0.500)
Be (0.500, 0.000, 0.500)
Be (0.500, 0.500, 0.000)
Si (0.500, 0.500, 0.500)



No. 4
ScIrSCl2 | meta-GGA SCAN | PBEsol geometry

Results
The value obtained for the magnetic moment is 0.74 μB per formula unit. The calculation puts the uncorrected formation energy at -229 meV per atom.

abc: 4.660 4.660 4.684
angles: 90.00 90.00 90.00
Fractional coordinates of all 5 atoms:
Sc (0.000, 0.000, 0.000)
Ir (0.500, 0.500, 0.500)
S (0.500, 0.500, 0.000)
Cl (0.000, 0.500, 0.500)
Cl (0.500, 0.000, 0.500)



No. 5
Li2AlAu | meta-GGA SCAN | PBEsol geometry

Results
The formation enthalpy at 0 K comes out at -0.426 eV/atom. The value obtained for the magnetic moment is 0.00 μB per formula unit.

abc: 2.913 3.714 5.509
angles: 90.00 90.00 90.00
Fractional coordinates of all 4 atoms:
Li (0.000, 0.000, 0.237)
Li (0.000, 0.000, 0.763)
Al (0.500, 0.500, 0.500)
Au (0.500, 0.500, 0.000)



No. 6
ZnAgCl2 | meta-GGA SCAN | PBEsol geometry

Results
The value obtained for the magnetic moment is 0.00 μB per formula unit. For the excess energy over the best structure of this formula in the dataset, the calculation gives 6.2 kJ per mole of atoms. The calculation puts the uncorrected formation energy at -331 meV per atom.

abc: 3.626 3.748 6.065
angles: 90.00 90.00 90.00
Fractional coordinates of all 4 atoms:
Zn (0.000, 0.000, 0.000)
Ag (0.000, 0.500, 0.500)
Cl (0.500, 0.000, 0.500)
Cl (0.500, 0.500, 0.000)



No. 7
La2Ir3 | meta-GGA SCAN | PBEsol geometry

Results
The formation enthalpy at 0 K comes out at -0.688 eV/atom. The value obtained for the magnetic moment is 0.00 μB per formula unit.

abc: 7.780 7.780 7.780
angles: 31.65 31.65 31.65
Fractional coordinates of all 5 atoms:
La (0.095, 0.095, 0.095)
La (0.905, 0.905, 0.905)
Ir (0.333, 0.333, 0.333)
Ir (0.500, 0.500, 0.500)
Ir (0.667, 0.667, 0.667)



No. 8
Tc3GeF | meta-GGA SCAN | PBEsol geometry

Results
The value obtained for the magnetic moment is 6.84 μB per formula unit. The calculation puts the uncorrected formation energy at 1558 meV per atom.

abc: 4.565 4.565 4.565
angles: 90.00 90.00 90.00
Fractional coordinates of all 5 atoms:
Tc (0.000, 0.000, 0.500)
Tc (0.000, 0.500, 0.000)
Tc (0.500, 0.000, 0.000)
Ge (0.000, 0.000, 0.000)
F (0.500, 0.500, 0.500)



No. 9
K2YAgI6 | meta-GGA SCAN | PBEsol geometry

Results
The value obtained for the magnetic moment is 0.00 μB per formula unit. The calculation puts the uncorrected formation energy at -1254 meV per atom.

abc: 8.341 8.341 8.341
angles: 60.00 60.00 60.00
Fractional coordinates of all 10 atoms:
K (0.250, 0.250, 0.250)
K (0.750, 0.750, 0.750)
Y (0.000, 0.000, 0.000)
Ag (0.500, 0.500, 0.500)
I (0.252, 0.252, 0.748)
I (0.252, 0.748, 0.252)
I (0.252, 0.748, 0.748)
I (0.748, 0.252, 0.252)
I (0.748, 0.252, 0.748)
I (0.748, 0.748, 0.252)



No. 10
CaTc2Ru | meta-GGA SCAN | PBEsol geometry

Results
The formation enthalpy at 0 K comes out at 0.713 eV/atom. The value obtained for the magnetic moment is 0.54 μB per formula unit.

abc: 5.206 5.206 5.206
angles: 137.67 137.67 61.40
Fractional coordinates of all 4 atoms:
Ca (0.000, 0.000, 0.000)
Tc (0.250, 0.750, 0.500)
Tc (0.750, 0.250, 0.500)
Ru (0.500, 0.500, 0.000)



No. 11
BaIrCl2 | meta-GGA SCAN | PBEsol geometry

Results
The value obtained for the magnetic moment is 3.00 μB per formula unit. For the excess energy over the best structure of this formula in the dataset, the calculation gives 49.2 kJ per mole of atoms. The calculation puts the uncorrected formation energy at -446 meV per atom.

abc: 5.052 5.052 5.052
angles: 60.00 60.00 60.00
Fractional coordinates of all 4 atoms:
Ba (0.000, 0.000, 0.000)
Ir (0.500, 0.500, 0.500)
Cl (0.250, 0.250, 0.250)
Cl (0.750, 0.750, 0.750)



No. 12
Ru2PtBr | meta-GGA SCAN | PBEsol geometry

Results
The value obtained for the magnetic moment is 0.00 μB per formula unit. For the excess energy over the best structure of this formula in the dataset, the calculation gives 1.1 kJ per mole of atoms. The calculation puts the uncorrected formation energy at 545 meV per atom.

abc: 2.844 3.674 6.138
angles: 90.00 90.00 90.00
Fractional coordinates of all 4 atoms:
Ru (0.000, 0.000, 0.209)
Ru (0.000, 0.000, 0.791)
Pt (0.500, 0.500, 0.000)
Br (0.000, 0.500, 0.500)



Q: What is the magnetic moment in the first record?
A: 0.00 μB per formula unit



Q: The highest magnetic moment belongs to which entry?
A: Tc3GeF